1.
Er6TlS4, optimized geometry, DFT GGA-PBE; energy relative to the elements, uncorrected = -1.52 eV per atom; crystal system = orthorhombic
1.0
1.946 -6.493 0.000
1.946 6.493 0.000
0.000 0.000 19.881
Er Tl S
12 2 8
Direct
0.000 0.000 0.000 Er
0.000 0.000 0.500 Er
0.151 0.849 0.750 Er
0.271 0.729 0.084 Er
0.271 0.729 0.416 Er
0.461 0.539 0.658 Er
0.461 0.539 0.842 Er
0.539 0.461 0.158 Er
0.539 0.461 0.342 Er
0.729 0.271 0.584 Er
0.729 0.271 0.916 Er
0.849 0.151 0.250 Er
0.165 0.835 0.250 Tl
0.835 0.165 0.750 Tl
0.094 0.906 0.621 S
0.094 0.906 0.879 S
0.363 0.637 0.539 S
0.363 0.637 0.961 S
0.637 0.363 0.039 S
0.637 0.363 0.461 S
0.906 0.094 0.121 S
0.906 0.094 0.379 S



2.
Pr8ZnPb2, optimized geometry, DFT GGA-PBE; formation energy from the elements = -242 meV/atom; crystal system = monoclinic
1.0
9.999 -2.662 0.000
9.999 2.662 0.000
-1.903 0.000 6.744
Pr Zn Pb
8 1 2
Direct
0.012 0.012 0.278 Pr
0.213 0.213 0.818 Pr
0.348 0.348 0.501 Pr
0.410 0.410 0.027 Pr
0.590 0.590 0.973 Pr
0.652 0.652 0.499 Pr
0.787 0.787 0.182 Pr
0.988 0.988 0.722 Pr
0.500 0.500 0.500 Zn
0.178 0.178 0.253 Pb
0.822 0.822 0.747 Pb



3.
Zn2SbRh, optimized geometry, DFT GGA-PBE; energy relative to the elements, uncorrected = -0.01 eV per atom; crystal system = trigonal
1.0
1.616 0.933 8.261
-1.616 0.933 8.261
0.000 -1.866 8.261
Zn Sb Rh
2 1 1
Direct
0.000 0.000 0.000 Zn
0.252 0.252 0.252 Zn
0.484 0.484 0.484 Sb
0.742 0.742 0.742 Rh



4.
CeVP2Ru, optimized geometry, DFT GGA-PBE; formation energy from the elements = -956 meV/atom; crystal system = tetragonal
1.0
-2.044 2.044 4.937
2.044 -2.044 4.937
2.044 2.044 -4.937
Ce V P Ru
1 1 2 1
Direct
0.000 0.000 0.000 Ce
0.750 0.250 0.500 V
0.374 0.374 0.000 P
0.626 0.626 0.000 P
0.250 0.750 0.500 Ru



5.
Pm3TeRu, optimized geometry, DFT GGA-PBE; polymorph energy (0 for the lowest one) = 0 meV per atom; energy relative to the elements, uncorrected = -0.68 eV per atom; crystal system = orthorhombic
1.0
8.028 0.000 0.000
0.000 4.327 0.000
0.000 0.000 16.730
Pm Te Ru
12 4 4
Direct
0.009 0.250 0.093 Pm
0.143 0.750 0.452 Pm
0.175 0.250 0.701 Pm
0.325 0.750 0.201 Pm
0.357 0.250 0.952 Pm
0.491 0.750 0.593 Pm
0.509 0.250 0.407 Pm
0.643 0.750 0.048 Pm
0.675 0.250 0.799 Pm
0.825 0.750 0.299 Pm
0.857 0.250 0.548 Pm
0.991 0.750 0.907 Pm
0.123 0.250 0.298 Te
0.377 0.750 0.798 Te
0.623 0.250 0.202 Te
0.877 0.750 0.702 Te
0.234 0.750 0.045 Ru
0.266 0.250 0.545 Ru
0.734 0.750 0.455 Ru
0.766 0.250 0.955 Ru



6.
Pm3Cu8Rh, optimized geometry, DFT GGA-PBE; formation energy from the elements = -155 meV/atom; crystal system = trigonal
1.0
2.576 1.487 8.651
-2.576 1.487 8.651
0.000 -2.975 8.651
Pm Cu Rh
3 8 1
Direct
0.000 0.000 0.000 Pm
0.130 0.130 0.130 Pm
0.606 0.606 0.606 Pm
0.052 0.052 0.563 Cu
0.052 0.563 0.052 Cu
0.063 0.560 0.560 Cu
0.308 0.308 0.308 Cu
0.560 0.063 0.560 Cu
0.560 0.560 0.063 Cu
0.563 0.052 0.052 Cu
0.808 0.808 0.808 Cu
0.488 0.488 0.488 Rh



7.
Cs2TaAlCl6, optimized geometry, DFT GGA-PBE; energy relative to the elements, uncorrected = -1.29 eV per atom; crystal system = cubic
1.0
0.000 5.414 5.414
5.414 0.000 5.414
5.414 5.414 0.000
Cs Ta Al Cl
2 1 1 6
Direct
0.250 0.250 0.250 Cs
0.750 0.750 0.750 Cs
0.000 0.000 0.000 Ta
0.500 0.500 0.500 Al
0.230 0.230 0.770 Cl
0.230 0.770 0.230 Cl
0.230 0.770 0.770 Cl
0.770 0.230 0.230 Cl
0.770 0.230 0.770 Cl
0.770 0.770 0.230 Cl



8.
PmScIO6, optimized geometry, DFT GGA-PBE; energy relative to the elements, uncorrected = -2.04 eV per atom; crystal system = trigonal
1.0
5.430 0.000 0.000
-2.715 4.703 0.000
0.000 0.000 5.024
Pm Sc I O
1 1 1 6
Direct
0.000 0.000 0.000 Pm
0.333 0.667 0.500 Sc
0.667 0.333 0.500 I
0.367 0.015 0.721 O
0.367 0.352 0.279 O
0.648 0.015 0.279 O
0.648 0.633 0.721 O
0.985 0.352 0.721 O
0.985 0.633 0.279 O



9.
CaLaTbPm, optimized geometry, DFT GGA-PBE; polymorph energy (0 for the lowest one) = 71 meV per atom; formation energy from the elements = 119 meV/atom; crystal system = cubic
1.0
0.000 4.162 4.162
4.162 0.000 4.162
4.162 4.162 0.000
Ca La Tb Pm
1 1 1 1
Direct
0.000 0.000 0.000 Ca
0.750 0.750 0.750 La
0.500 0.500 0.500 Tb
0.250 0.250 0.250 Pm



10.
PrLuH, optimized geometry, DFT GGA-PBE; polymorph energy (0 for the lowest one) = 0 meV per atom; crystal system = trigonal
1.0
3.623 0.000 0.000
-1.812 3.138 0.000
0.000 0.000 5.768
Pr Lu H
1 1 1
Direct
0.000 0.000 0.000 Pr
0.333 0.667 0.490 Lu
0.667 0.333 0.273 H



11.
PmTl2Cl8, optimized geometry, DFT GGA-PBE; energy relative to the elements, uncorrected = -1.15 eV per atom; crystal system = monoclinic
1.0
7.046 -4.096 0.000
7.046 4.096 0.000
-1.298 0.000 6.845
Pm Tl Cl
1 2 8
Direct
0.000 0.000 0.000 Pm
0.198 0.198 0.666 Tl
0.802 0.802 0.334 Tl
0.135 0.691 0.209 Cl
0.167 0.167 0.274 Cl
0.309 0.865 0.791 Cl
0.375 0.375 0.752 Cl
0.625 0.625 0.248 Cl
0.691 0.135 0.209 Cl
0.833 0.833 0.726 Cl
0.865 0.309 0.791 Cl



12.
Sr2PaPtO6, optimized geometry, DFT GGA-PBE; energy relative to the elements, uncorrected = -2.26 eV per atom; crystal system = trigonal
1.0
5.868 0.000 0.000
-2.934 5.082 0.000
0.000 0.000 5.698
Sr Pa Pt O
2 1 1 6
Direct
0.333 0.667 0.093 Sr
0.667 0.333 0.907 Sr
0.000 0.000 0.500 Pa
0.000 0.000 0.000 Pt
0.163 0.326 0.763 O
0.163 0.837 0.763 O
0.326 0.163 0.237 O
0.674 0.837 0.763 O
0.837 0.163 0.237 O
0.837 0.674 0.237 O



13.
Sc2SnBi, optimized geometry, DFT GGA-PBE; polymorph energy (0 for the lowest one) = 73 meV per atom; formation energy from the elements = -460 meV/atom; crystal system = tetragonal
1.0
3.412 0.000 0.000
0.000 3.412 0.000
0.000 0.000 8.384
Sc Sn Bi
2 1 1
Direct
0.000 0.000 0.237 Sc
0.000 0.000 0.763 Sc
0.500 0.500 0.000 Sn
0.500 0.500 0.500 Bi



14.
NpTlAgO4, optimized geometry, DFT GGA-PBE; energy relative to the elements, uncorrected = -1.52 eV per atom; crystal system = monoclinic
1.0
6.221 0.000 0.000
0.000 5.627 0.000
-2.871 0.000 7.790
Np Tl Ag O
2 2 2 8
Direct
0.119 0.250 0.159 Np
0.881 0.750 0.841 Np
0.286 0.750 0.496 Tl
0.714 0.250 0.504 Tl
0.401 0.250 0.834 Ag
0.599 0.750 0.166 Ag
0.093 0.250 0.378 O
0.105 0.250 0.917 O
0.362 0.004 0.228 O
0.362 0.496 0.228 O
0.638 0.504 0.772 O
0.638 0.996 0.772 O
0.895 0.750 0.083 O
0.907 0.750 0.622 O



15.
BaNd3B4O12, optimized geometry, DFT GGA-PBE; energy relative to the elements, uncorrected = -2.85 eV per atom; crystal system = trigonal
1.0
5.276 3.046 3.081
-5.276 3.046 3.081
0.000 -6.092 3.081
Ba Nd B O
1 3 4 12
Direct
0.000 0.000 0.000 Ba
0.000 0.536 0.464 Nd
0.464 0.000 0.536 Nd
0.536 0.464 0.000 Nd
0.037 0.500 0.963 B
0.500 0.500 0.500 B
0.500 0.963 0.037 B
0.963 0.037 0.500 B
0.017 0.611 0.815 O
0.095 0.905 0.500 O
0.185 0.389 0.983 O
0.368 0.632 0.500 O
0.389 0.983 0.185 O
0.500 0.095 0.905 O
0.500 0.368 0.632 O
0.611 0.815 0.017 O
0.632 0.500 0.368 O
0.815 0.017 0.611 O
0.905 0.500 0.095 O
0.983 0.185 0.389 O



16.
DyEr6Tm3, optimized geometry, DFT GGA-PBE; polymorph energy (0 for the lowest one) = 0 meV per atom; formation energy from the elements = 126 meV/atom; crystal system = orthorhombic
1.0
4.746 -10.302 0.000
4.746 10.302 0.000
0.000 0.000 6.275
Dy Er Tm
2 12 6
Direct
0.162 0.838 0.500 Dy
0.838 0.162 0.000 Dy
0.015 0.985 0.695 Er
0.104 0.542 0.187 Er
0.259 0.379 0.946 Er
0.301 0.699 0.731 Er
0.379 0.259 0.446 Er
0.458 0.896 0.187 Er
0.542 0.104 0.687 Er
0.621 0.741 0.946 Er
0.699 0.301 0.231 Er
0.741 0.621 0.446 Er
0.896 0.458 0.687 Er
0.985 0.015 0.195 Er
0.043 0.295 0.525 Tm
0.295 0.043 0.025 Tm
0.419 0.581 0.421 Tm
0.581 0.419 0.921 Tm
0.705 0.957 0.525 Tm
0.957 0.705 0.025 Tm



17.
PaCoP2, optimized geometry, DFT GGA-PBE; formation energy from the elements = -990 meV/atom; crystal system = tetragonal
1.0
-1.915 1.915 8.874
1.915 -1.915 8.874
1.915 1.915 -8.874
Pa Co P
2 2 4
Direct
0.117 0.117 0.000 Pa
0.883 0.883 0.000 Pa
0.250 0.750 0.500 Co
0.750 0.250 0.500 Co
0.000 0.500 0.500 P
0.319 0.319 0.000 P
0.500 0.000 0.500 P
0.681 0.681 0.000 P



Values of final energy, in order: -62.962, -49.592, -14.066, -39.927, -30.093, -56.237, -41.276, -60.744, -15.834, -13.243, -36.898, -71.209, -22.386, -48.633, -159.412, -44.136, -31.380, all in eV/f.u..
Values of volume, in order: 502, 359, 75, 82, 581, 199, 317, 128, 144, 66, 395, 170, 98, 273, 297, 614, 130, all in Å³/cell.